1.
SmNbPO | OQMD via LeMat-Bulk | PBE | optimized geometry; energy above the lowest structure with this stoichiometry = 1174.6 meV per atom; total moment = 0.0 μB per formula unit; raw total energy = -7.066 eV per atom
1.0
-0.7389 -3.0449 2.7440
-1.0818 -2.5445 -3.1148
7.3160 -2.3414 -0.6281
O P Sm Nb
2 2 2 2
Cartesian
0.0000 0.0000 0.0000
-0.9103 -2.7947 -0.1854
4.9768 -3.0382 -2.0312
1.4288 -2.0980 1.2176
3.6580 -1.1707 -0.3141
2.7476 -3.9654 -0.4995
6.2317 -3.6351 0.8052
0.1739 -1.5010 -1.6188

2.
SmNbPO | OQMD via LeMat-Bulk | PBE | optimized geometry; energy above the lowest structure with this stoichiometry = 470.9 meV per atom; total moment = 0.0 μB per formula unit; raw total energy = -7.769 eV per atom
1.0
-4.1000 -1.1521 1.8090
1.8871 -5.5335 0.7529
1.9255 1.3690 5.2358
P O Nb Sm
2 2 2 2
Cartesian
2.2731 -3.5827 2.8700
2.2690 -0.0631 5.1022
-0.7036 -1.9333 3.0915
0.8757 -3.0566 5.9554
-1.3780 -2.4571 1.2294
0.1769 -3.5091 4.0836
3.2172 -2.8915 5.4499
1.2985 -0.7730 2.4506

3.
NbSnPO | OQMD via LeMat-Bulk | PBE | optimized geometry; energy above the lowest structure with this stoichiometry = 288.8 meV per atom; total moment = 0.0 μB per formula unit; raw total energy = -6.758 eV per atom
1.0
4.1117 0.0000 0.0000
0.0000 4.1117 0.0000
0.0000 0.0000 9.7439
Sn O P Nb
2 2 2 2
Cartesian
0.0000 2.0558 1.0614
2.0558 0.0000 8.6825
0.0000 0.0000 0.0000
2.0558 2.0558 0.0000
2.0558 0.0000 3.4757
0.0000 2.0558 6.2683
2.0558 2.0558 4.8720
0.0000 0.0000 4.8720

4.
NbSnPO | OQMD via LeMat-Bulk | PBE | optimized geometry; energy above the lowest structure with this stoichiometry = 542.1 meV per atom; total moment = 0.0 μB per formula unit; raw total energy = -6.504 eV per atom
1.0
-3.5280 -1.6091 -0.6538
-0.3925 -0.7034 3.8490
-3.7350 7.7671 1.0385
Sn P Nb O
2 2 2 2
Cartesian
-3.8277 2.7273 2.1168
-1.8675 3.8836 0.5192
-3.1153 5.7186 2.7361
-2.5799 0.8923 -0.1001
-0.6086 0.5058 2.0391
-5.0866 6.1051 0.5969
-1.9603 -1.1562 1.5976
0.0000 0.0000 0.0000

5.
NbSnPO | OQMD via LeMat-Bulk | PBE | optimized geometry; energy above the lowest structure with this stoichiometry = 300.2 meV per atom; total moment = 0.0 μB per formula unit; raw total energy = -6.746 eV per atom
1.0
4.2479 0.0000 0.0000
0.0000 4.2479 0.0000
0.0000 0.0000 9.5654
P Nb O Sn
2 2 2 2
Cartesian
2.1239 2.1239 2.5726
0.0000 0.0000 6.9928
2.1239 2.1239 0.3272
0.0000 0.0000 9.2383
0.0000 2.1239 0.0000
2.1239 0.0000 0.0000
2.1239 0.0000 4.7827
0.0000 2.1239 4.7827

6.
NbSnPO | OQMD via LeMat-Bulk | PBE | optimized geometry; energy above the lowest structure with this stoichiometry = 311.2 meV per atom; total moment = 0.0 μB per formula unit; raw total energy = -6.735 eV per atom
1.0
2.8988 -2.8988 0.0000
2.8988 2.8988 0.0000
0.0000 0.0000 8.8437
Nb Sn O P
2 2 2 2
Cartesian
2.8988 1.4494 4.4218
2.8988 -1.4494 4.4218
4.3482 0.0000 7.7881
1.4494 0.0000 1.0556
2.8988 1.4494 0.0000
2.8988 -1.4494 0.0000
1.4494 0.0000 5.8735
4.3482 0.0000 2.9702

7.
NbSnPO | OQMD via LeMat-Bulk | PBE | optimized geometry; energy above the lowest structure with this stoichiometry = 0.0 meV per atom; total moment = 0.0 μB per formula unit; raw total energy = -7.047 eV per atom
1.0
3.3670 0.0000 0.0000
0.0000 6.4761 0.0000
0.0000 0.0000 7.4144
P O Sn Nb
2 2 2 2
Cartesian
1.6835 5.4136 3.1521
1.6835 1.0625 6.8593
0.0000 2.7457 1.9052
0.0000 3.7304 5.6124
1.6835 5.2178 0.5256
1.6835 1.2583 4.2329
0.0000 2.8312 0.0075
0.0000 3.6449 3.7148

8.
NbSnPO5 | OQMD via LeMat-Bulk | PBE | optimized geometry; total moment = 0.0 μB per formula unit; raw total energy = -7.481 eV per atom
1.0
-4.5635 -2.7125 2.2092
4.4175 -2.2192 4.3330
-0.9936 6.5211 0.4712
P O Nb Sn
2 10 2 2
Cartesian
-0.2246 -3.3184 5.3879
-0.9149 4.9078 1.6255
3.1900 -1.5868 3.4680
0.5940 1.0493 2.9571
-4.3295 3.1762 3.5454
-1.7335 0.5401 4.0563
-0.3692 3.6810 2.3935
-4.0549 -0.6052 2.4209
-0.7703 -2.0915 4.6199
2.9153 2.1946 4.5925
-1.0814 -0.9803 1.9737
-0.0581 2.5698 5.0397
-2.5491 -1.3682 3.7036
1.4096 2.9577 3.3097
-1.3797 1.3353 1.9946
0.2402 0.2541 5.0188

9.
SrNbPO | OQMD via LeMat-Bulk | PBE | optimized geometry; energy above the lowest structure with this stoichiometry = 69.0 meV per atom; total moment = 0.0 μB per formula unit; raw total energy = -6.845 eV per atom
1.0
3.0079 -3.0079 0.0000
3.0079 3.0079 0.0000
0.0000 0.0000 9.4358
P Nb Sr O
2 2 2 2
Cartesian
4.5119 0.0000 3.3959
1.5040 0.0000 6.0399
3.0079 -1.5040 4.7179
3.0079 1.5040 4.7179
1.5040 0.0000 1.0680
4.5119 0.0000 8.3679
3.0079 -1.5040 0.0000
3.0079 1.5040 0.0000

10.
SrNbPO | OQMD via LeMat-Bulk | PBE | optimized geometry; energy above the lowest structure with this stoichiometry = 665.3 meV per atom; total moment = 0.3 μB per formula unit; raw total energy = -6.249 eV per atom
1.0
3.1132 -3.1132 0.0000
3.1132 3.1132 0.0000
0.0000 0.0000 8.8951
P Sr Nb O
2 2 2 2
Cartesian
1.5566 0.0000 6.3814
4.6698 0.0000 2.5136
3.1132 1.5566 4.4475
3.1132 -1.5566 4.4475
4.6698 0.0000 0.1722
1.5566 0.0000 8.7229
3.1132 1.5566 0.0000
3.1132 -1.5566 0.0000

11.
SrNbPO | OQMD via LeMat-Bulk | PBE | optimized geometry; energy above the lowest structure with this stoichiometry = 0.0 meV per atom; total moment = 0.0 μB per formula unit; raw total energy = -6.914 eV per atom
1.0
-3.6972 -1.9293 0.9362
-1.4829 -0.3993 -6.6792
2.7750 -5.4587 -0.2898
Nb P Sr O
2 2 2 2
Cartesian
-2.3661 -1.2582 -2.1804
-1.2886 -4.0710 -3.7219
0.0879 -2.6758 -5.1671
2.2310 -5.2018 -1.9091
1.4343 -5.4720 -5.6120
0.9344 -2.5037 -1.4694
-0.4518 -5.8645 -4.1130
-1.3974 -3.0162 -1.9778

12.
TbNbPO | OQMD via LeMat-Bulk | PBE | optimized geometry; energy above the lowest structure with this stoichiometry = 499.2 meV per atom; total moment = 0.0 μB per formula unit; raw total energy = -7.753 eV per atom
1.0
-4.0871 1.9770 0.4776
-2.1531 -3.4351 -4.2057
-1.4092 -3.8465 3.8632
P Tb O Nb
2 2 2 2
Cartesian
-4.9590 -5.1531 0.7128
-3.2046 -1.5549 0.8319
-3.9047 -3.4651 2.7474
-4.2484 -3.2142 -1.2317
-2.2858 -4.2527 -1.9565
-1.6405 -4.0224 2.6118
-1.8620 -2.9924 -3.5462
-1.0344 -2.4714 1.3781